## Mn2SiIr (GGA-PBE)

Data for a relaxed structure of Mn2SiIr.

Cell and atoms, written as POSCAR:
```
Mn2SiIr
1.0
-1.4930 2.4771 -2.3165
-2.4448 -0.7313 0.7937
-2.2960 2.7565 4.4274
Ir Mn Si
1 2 1
Direct
0.5000 0.7500 0.7500
0.0000 0.9922 0.0090
0.0000 0.5078 0.4910
0.5000 0.2500 0.2500
```

Calculated values
size of the total moment	0.915	μB/atom
E	-8.41	eV per atom
uncorrected formation energy	-1.02	eV/f.u.
space-group type	P2/m



## MnSi2Ir2 (GGA-PBE)

Data for a relaxed structure of MnSi2Ir2.

Cell and atoms, written as POSCAR:
```
MnSi2Ir2
1.0
-5.1401 -1.2108 -4.7883
3.6369 -5.6038 -2.4871
-1.3060 -1.6557 1.8207
Si Ir Mn
4 4 2
Direct
0.1546 0.6546 0.5000
0.6546 0.8454 0.5000
0.8454 0.3454 0.5000
0.3454 0.1546 0.5000
0.3569 0.8569 0.0000
0.8569 0.6431 0.0000
0.6431 0.1431 0.0000
0.1431 0.3569 0.0000
0.0000 0.0000 0.0000
0.5000 0.5000 0.0000
```

Calculated values
size of the total moment	0.759	μB/atom
E	-7.92	eV per atom
uncorrected formation energy	-1.84	eV/f.u.
space-group type	P4/mbm



| no. | Fermi-level density of states (states/eV per cell) |
| --- | --- |
| 1 | 2.89 |
| 2 | 4.22 |